1.
10
Lattice="-4.7625 0.7933 -3.1447 5.0270 -2.0685 -2.0309 -4.6928 -5.6235 3.8983" Properties=species:S:1:pos:R:3 comment="Cd2InAg2 PBE relaxed" e_tot_ev_per_atom=-2.073 spacegroup="No. 2" formation_enthalpy_0k_ev_per_atom=-0.019 total_magnetization_mub_per_atom=0.000 mass_density_g_cm3=9.031 n_ef_per_ev_cell=2.92 volume_a3_per_cell=204 pbc="T T T"
In -5.2525 -1.6111 -2.1235
In 0.8243 -5.2876 0.8461
Ag 3.6155 -2.1336 -2.5438
Ag -3.2889 -2.5647 0.0107
Ag -8.0438 -4.7651 1.2664
Ag -1.1394 -4.3340 -1.2880
Cd -5.1670 -5.0687 0.5345
Cd 0.7387 -1.8300 -1.8118
Cd -2.2049 -1.8923 -2.7155
Cd -2.2234 -5.0064 1.4382

***

2.
8
Lattice="-3.8623 3.8158 0.4839 -3.7850 -0.6810 5.8604 1.0389 4.2026 5.8506" Properties=species:S:1:pos:R:3 comment="CdIn6Ag PBE relaxed" e_tot_ev_per_atom=-2.475 spacegroup="No. 12" formation_enthalpy_0k_ev_per_atom=0.050 total_magnetization_mub_per_atom=0.000 mass_density_g_cm3=7.159 n_ef_per_ev_cell=2.73 volume_a3_per_cell=211 pbc="T T T"
In -3.6497 2.9454 9.0427
In -4.5438 6.1138 7.6214
In -2.9587 4.3920 3.1522
In -2.0646 1.2236 4.5735
In -2.2576 1.4031 1.6169
In -4.3508 5.9343 10.5780
Cd -3.3042 3.6687 6.0975
Ag 0.0000 0.0000 0.0000

***

3.
10
Lattice="7.4118 0.0000 0.0000 0.0000 7.4118 0.0000 0.0000 0.0000 4.1564" Properties=species:S:1:pos:R:3 comment="CdIn2Ag2 PBE relaxed" e_tot_ev_per_atom=-2.376 spacegroup="No. 127" formation_enthalpy_0k_ev_per_atom=0.043 total_magnetization_mub_per_atom=0.000 mass_density_g_cm3=8.113 n_ef_per_ev_cell=3.69 volume_a3_per_cell=228 pbc="T T T"
Ag 2.6882 6.3941 0.0000
Ag 6.3941 4.7236 0.0000
Ag 1.0177 2.6882 0.0000
Ag 4.7236 1.0177 0.0000
Cd 0.0000 0.0000 0.0000
Cd 3.7059 3.7059 0.0000
In 2.4799 1.2260 2.0782
In 4.9319 6.1858 2.0782
In 6.1858 2.4799 2.0782
In 1.2260 4.9319 2.0782

***

4.
3
Lattice="-2.8374 -0.7821 -1.4293 1.6012 -2.2264 1.7846 -3.5021 2.1230 5.7905" Properties=species:S:1:pos:R:3 comment="CdInAg PBE relaxed" e_tot_ev_per_atom=-2.163 spacegroup="No. 156" formation_enthalpy_0k_ev_per_atom=0.005 total_magnetization_mub_per_atom=0.000 mass_density_g_cm3=8.462 n_ef_per_ev_cell=0.57 volume_a3_per_cell=66 pbc="T T T"
Ag -0.0093 0.0056 0.0154
Cd -2.4763 -0.5855 1.4912
In -2.2527 -0.3055 4.6393

***

5.
3
Lattice="4.7890 0.0000 0.0000 -2.3945 4.1474 0.0000 0.0000 0.0000 3.3557" Properties=species:S:1:pos:R:3 comment="CdInAg PBE relaxed" e_tot_ev_per_atom=-2.096 spacegroup="No. 156" formation_enthalpy_0k_ev_per_atom=0.072 total_magnetization_mub_per_atom=0.000 mass_density_g_cm3=8.349 n_ef_per_ev_cell=1.14 volume_a3_per_cell=67 pbc="T T T"
Ag 0.0000 0.0000 0.0452
Cd 0.0000 2.7649 0.9366
In 2.3945 1.3825 2.3738

***

6.
10
Lattice="8.4169 0.0000 0.0000 0.0000 8.4169 0.0000 0.0000 0.0000 3.0634" Properties=species:S:1:pos:R:3 comment="Cd2InAg2 PBE relaxed" e_tot_ev_per_atom=-2.035 spacegroup="No. 127" formation_enthalpy_0k_ev_per_atom=0.019 total_magnetization_mub_per_atom=0.000 mass_density_g_cm3=8.499 n_ef_per_ev_cell=3.47 volume_a3_per_cell=217 pbc="T T T"
In 4.2085 4.2085 0.0000
In 0.0000 0.0000 0.0000
Ag 6.9731 2.7646 1.5317
Ag 5.6523 6.9731 1.5317
Ag 2.7646 1.4439 1.5317
Ag 1.4439 5.6523 1.5317
Cd 5.2711 1.0627 0.0000
Cd 3.1458 7.3542 0.0000
Cd 1.0627 3.1458 0.0000
Cd 7.3542 5.2711 0.0000